Record 1
VASP calculation (GGA-PBE) on SrAc5Pt3 after structural relaxation.

Formation enthalpy at 0 K ... -7.1 eV per formula unit
N(E_F) ... 0.8917 states/eV per atom

Unit cell a=7.3494 b=4.4540 c=21.4697 alpha=90.00 beta=91.26 gamma=90.00
With the nearest neighbours (Å) after each atom.
Sites, in units of the cell vectors:
Sr: 0.1740 0.0000 0.2556  3 Pt 3.13-3.17
Sr: 0.8260 0.0000 0.7444  3 Pt 3.13-3.17
Ac: 0.1676 0.0000 0.9235  3 Pt 3.04-3.08
Ac: 0.1715 0.0000 0.5888  3 Pt 3.02-3.11
Ac: 0.3274 0.5000 0.4223  3 Pt 3.03-3.04
Ac: 0.3294 0.5000 0.7540  3 Pt 3.03-3.04
Ac: 0.3403 0.5000 0.0887  3 Pt 3.03-3.11
Ac: 0.6597 0.5000 0.9113  3 Pt 3.03-3.11
Ac: 0.6706 0.5000 0.2460  3 Pt 3.03-3.04
Ac: 0.6726 0.5000 0.5777  3 Pt 3.03-3.04
Ac: 0.8285 0.0000 0.4112  3 Pt 3.02-3.11
Ac: 0.8324 0.0000 0.0765  3 Pt 3.04-3.08
Pt: 0.0000 0.5000 0.0000  6 Ac 3.04-3.11
Pt: 0.0055 0.5000 0.6638  4 Ac 3.02-3.04, 2 Sr 3.13
Pt: 0.4892 0.0000 0.8338  5 Ac 3.03-3.08, 1 Sr 3.17
Pt: 0.5000 0.0000 0.5000  6 Ac 3.04-3.11
Pt: 0.5108 0.0000 0.1662  5 Ac 3.03-3.08, 1 Sr 3.17
Pt: 0.9945 0.5000 0.3362  4 Ac 3.02-3.04, 2 Sr 3.13

Record 2
VASP calculation (GGA-PBE) on SrAc3Pt after structural relaxation.

Formation enthalpy at 0 K ... -2.1 eV per formula unit
N(E_F) ... 1.4197 states/eV per atom
E above lowest polymorph ... 0 meV per atom

Unit cell a=10.8428 b=7.3895 c=11.0787 alpha=90.00 beta=101.37 gamma=90.00
With the nearest neighbours (Å) after each atom.
Sites, in units of the cell vectors:
Sr: 0.0601 0.0820 0.1864  9 Ac 4.18-4.31, 3 Sr 4.25-4.26
Sr: 0.0601 0.4180 0.6864  9 Ac 4.18-4.31, 3 Sr 4.25-4.26
Sr: 0.9399 0.5820 0.3136  9 Ac 4.18-4.31, 3 Sr 4.25-4.26
Sr: 0.9399 0.9180 0.8136  9 Ac 4.18-4.31, 3 Sr 4.25-4.26
Ac: 0.1823 0.5736 0.0585  1 Pt 2.98
Ac: 0.1823 0.9264 0.5585  1 Pt 2.98
Ac: 0.3106 0.0909 0.9331  2 Pt 3.02-3.04
Ac: 0.3106 0.4091 0.4331  2 Pt 3.02-3.04
Ac: 0.4327 0.5783 0.8126  3 Pt 3.04-3.07
Ac: 0.4327 0.9217 0.3126  3 Pt 3.04-3.07
Ac: 0.5673 0.0783 0.6874  3 Pt 3.04-3.07
Ac: 0.5673 0.4217 0.1874  3 Pt 3.04-3.07
Ac: 0.6894 0.5909 0.5669  2 Pt 3.02-3.04
Ac: 0.6894 0.9091 0.0669  2 Pt 3.02-3.04
Ac: 0.8177 0.0736 0.4415  1 Pt 2.98
Ac: 0.8177 0.4264 0.9415  1 Pt 2.98
Pt: 0.4284 0.7467 0.5601  6 Ac 2.98-3.07
Pt: 0.4284 0.7533 0.0601  6 Ac 2.98-3.07
Pt: 0.5716 0.2467 0.9399  6 Ac 2.98-3.07
Pt: 0.5716 0.2533 0.4399  6 Ac 2.98-3.07

Record 3
VASP calculation (GGA-PBE) on SrAcPt after structural relaxation.

Formation enthalpy at 0 K ... -2.0 eV per formula unit
N(E_F) ... 1.0974 states/eV per atom
E above lowest polymorph ... 84 meV per atom

Unit cell a=5.2631 b=5.2631 c=5.2631 alpha=60.00 beta=60.00 gamma=60.00
With the nearest neighbours (Å) after each atom.
Sites, in units of the cell vectors:
Sr: 0.0000 0.0000 0.0000  4 Pt 3.22
Ac: 0.5000 0.5000 0.5000  4 Pt 3.22
Pt: 0.7500 0.7500 0.7500  4 Ac 3.22, 4 Sr 3.22